## Th2Sc2Se7 (PBE-GGA)

Data for a relaxed Th2Sc2Se7 crystal.

The calculation puts the formation energy from raw total energies at -1444 kJ/mol of formula units. The value obtained for the volume is 29.13 Å³/atom. The magnetization comes out at 0.00 μB per formula unit.

The space group is P-4m2 (No. 115) and the conventional cell measures 4.8329, 4.8329 and 13.7171 Å, with angles of 90.00, 90.00 and 90.00 degrees. Symmetry generates all atoms from Th at (0.0000, 0.5000, 0.1462), Sc at (0.0000, 0.5000, 0.6027), Se at (0.0000, 0.0000, 0.2433), Se at (0.0000, 0.0000, 0.5000), Se at (0.5000, 0.5000, 0.0000), Se at (0.5000, 0.5000, 0.2662) and Se at (0.5000, 0.5000, 0.5000).


## Th3Sc5Se12 (PBE-GGA)

Data for a relaxed Th3Sc5Se12 crystal.

The calculation puts the formation energy from raw total energies at -2979 kJ/mol of formula units. The value obtained for the volume is 27.33 Å³/atom. The magnetization comes out at 0.00 μB per formula unit.

The space group is Ia-3d (No. 230) and the conventional cell measures 16.3519, 16.3519 and 16.3519 Å, with angles of 90.00, 90.00 and 90.00 degrees. Symmetry generates all atoms from Th at (0.0000, 0.2500, 0.1250), Sc at (0.0000, 0.0000, 0.0000), Sc at (0.0000, 0.2500, 0.3750) and Se at (0.0254, 0.0663, 0.6506).


## ThScSe (PBE-GGA)

Data for a relaxed ThScSe crystal.

Its energy above the lowest structure with this stoichiometry is 0 meV/atom. The calculation puts the formation energy from raw total energies at -251 kJ/mol of formula units. The value obtained for the volume is 26.82 Å³/atom. The magnetization comes out at 0.75 μB per formula unit.

The space group is P3m1 (No. 156) and the conventional cell measures 3.7515, 3.7515 and 6.6005 Å, with angles of 90.00, 90.00 and 120.00 degrees. Symmetry generates all atoms from Th at (0.0000, 0.0000, 0.0000), Sc at (0.6667, 0.3333, 0.4284) and Se at (0.3333, 0.6667, 0.6788).


## ThSc2Se4 (PBE-GGA)

Data for a relaxed ThSc2Se4 crystal.

The calculation puts the formation energy from raw total energies at -1115 kJ/mol of formula units. The value obtained for the volume is 23.94 Å³/atom. The magnetization comes out at 0.00 μB per formula unit.

The space group is Cmcm (No. 63) and the conventional cell measures 3.9378, 12.7737 and 13.3283 Å, with angles of 90.00, 90.00 and 90.00 degrees. Symmetry generates all atoms from Th at (0.0000, 0.1211, 0.2500), Sc at (0.0000, 0.3686, 0.0617), Se at (0.0000, 0.0000, 0.0000), Se at (0.0000, 0.2695, 0.6190) and Se at (0.0000, 0.4499, 0.2500).


## Th4ScSe5 (PBE-GGA)

Data for a relaxed Th4ScSe5 crystal.

The calculation puts the formation energy from raw total energies at -1474 kJ/mol of formula units. The value obtained for the volume is 25.39 Å³/atom. The magnetization comes out at 0.00 μB per formula unit.

The space group is I4/mmm (No. 139) and the conventional cell measures 4.1629, 4.1629 and 29.3018 Å, with angles of 90.00, 90.00 and 90.00 degrees. Symmetry generates all atoms from Th at (0.0000, 0.0000, 0.1006), Th at (0.0000, 0.0000, 0.3046), Sc at (0.0000, 0.0000, 0.5000), Se at (0.0000, 0.0000, 0.0000), Se at (0.0000, 0.0000, 0.2026) and Se at (0.0000, 0.0000, 0.4070).


## ThSc2Se (PBE-GGA)

Data for a relaxed ThSc2Se crystal.

Its energy above the lowest structure with this stoichiometry is 0 meV/atom. The calculation puts the formation energy from raw total energies at -283 kJ/mol of formula units. The value obtained for the volume is 24.79 Å³/atom. The magnetization comes out at 0.00 μB per formula unit.

The space group is R-3m (No. 166, hexagonal axes) and the conventional cell measures 3.5774, 3.5774 and 26.8440 Å, with angles of 90.00, 90.00 and 120.00 degrees. Symmetry generates all atoms from Th at (0.0000, 0.0000, 0.0000), Sc at (0.0000, 0.0000, 0.2326) and Se at (0.0000, 0.0000, 0.5000).


## Th3ScSe4 (PBE-GGA)

Data for a relaxed Th3ScSe4 crystal.

The calculation puts the formation energy from raw total energies at -1176 kJ/mol of formula units. The value obtained for the volume is 25.00 Å³/atom. The magnetization comes out at 0.00 μB per formula unit.

The space group is Cmmm (No. 65) and the conventional cell measures 8.3587, 11.6738 and 4.1000 Å, with angles of 90.00, 90.00 and 90.00 degrees. Symmetry generates all atoms from Th at (0.0000, 0.0000, 0.0000), Th at (0.2500, 0.2500, 0.5000), Sc at (0.0000, 0.5000, 0.0000), Se at (0.0000, 0.2612, 0.0000) and Se at (0.2295, 0.5000, 0.5000).


## ThSc2Se (PBE-GGA)

Data for a relaxed ThSc2Se crystal.

Its energy above the lowest structure with this stoichiometry is 91 meV/atom. The calculation puts the formation energy from raw total energies at -248 kJ/mol of formula units. The value obtained for the volume is 23.75 Å³/atom. The magnetization comes out at 0.00 μB per formula unit.

The space group is P4/mmm (No. 123) and the conventional cell measures 3.4930, 3.4930 and 7.7869 Å, with angles of 90.00, 90.00 and 90.00 degrees. Symmetry generates all atoms from Th at (0.0000, 0.0000, 0.0000), Sc at (0.5000, 0.5000, 0.2937) and Se at (0.0000, 0.0000, 0.5000).